[1]
Density functional theory data (GGA-PBEsol) for a relaxed MgWSe4 crystal.

For the formation energy from raw total energies, the calculation gives 1.049 eV/atom. Its total energy is -4.105 eV per atom. The value obtained for the total magnetization is 11.4 μB per cell. The calculated density comes out at 7.2 Mg/m³. As for the volume: 20.0 A^3/atom.

The space group is F-43m (No. 216) and the conventional cell measures 7.8318, 7.8318 and 7.8318 Å, with angles of 90.00, 90.00 and 90.00 degrees. The asymmetric unit holds Mg at (0.0000, 0.0000, 0.0000), W at (0.2500, 0.2500, 0.7500) and Se at (0.1245, 0.1245, 0.3755).


[2]
Density functional theory data (GGA-PBEsol) for a relaxed MgW2Se crystal.

For the formation energy from raw total energies, the calculation gives 0.519 eV/atom. Its total energy is -7.776 eV per atom. The value obtained for the total magnetization is 0.0 μB per cell. The calculated density comes out at 11.6 Mg/m³. As for the volume: 16.8 A^3/atom.

The space group is Cm (No. 8) and the conventional cell measures 9.1108, 3.0233 and 5.1307 Å, with angles of 90.00, 107.49 and 90.00 degrees. The asymmetric unit holds Mg at (0.0000, 0.0000, 0.0000), W at (0.0532, 0.5000, 0.5089), W at (0.2785, 0.5000, 0.2957) and Se at (0.2508, 0.0000, 0.8608).


[3]
Density functional theory data (GGA-PBEsol) for a relaxed MgW2Se crystal.

For the formation energy from raw total energies, the calculation gives 0.482 eV/atom. Its total energy is -7.814 eV per atom. The value obtained for the total magnetization is 0.0 μB per cell. The calculated density comes out at 11.8 Mg/m³. As for the volume: 16.5 A^3/atom.

The space group is R-3m (No. 166, hexagonal axes) and the conventional cell measures 2.9402, 2.9402 and 26.4476 Å, with angles of 90.00, 90.00 and 120.00 degrees. The asymmetric unit holds Mg at (0.0000, 0.0000, 0.0000), W at (0.0000, 0.0000, 0.2414) and Se at (0.0000, 0.0000, 0.5000).


[4]
Density functional theory data (GGA-PBEsol) for a relaxed MgWSe2 crystal.

For the formation energy from raw total energies, the calculation gives 0.021 eV/atom. Its total energy is -5.785 eV per atom. The value obtained for the total magnetization is 0.0 μB per cell. The calculated density comes out at 8.0 Mg/m³. As for the volume: 19.0 A^3/atom.

The space group is Pmmm (No. 47) and the conventional cell measures 3.2258, 3.2534 and 7.2284 Å, with angles of 90.00, 90.00 and 90.00 degrees. The asymmetric unit holds Mg at (0.0000, 0.0000, 0.0000), W at (0.0000, 0.5000, 0.5000) and Se at (0.5000, 0.5000, 0.2344).


[5]
Density functional theory data (GGA-PBEsol) for a relaxed Mg2WSe crystal.

For the formation energy from raw total energies, the calculation gives 0.303 eV/atom. Its total energy is -4.970 eV per atom. The value obtained for the total magnetization is 0.0 μB per cell. The calculated density comes out at 7.4 Mg/m³. As for the volume: 17.4 A^3/atom.

The space group is Cmmm (No. 65) and the conventional cell measures 5.3228, 8.6387 and 3.0308 Å, with angles of 90.00, 90.00 and 90.00 degrees. The asymmetric unit holds Mg at (0.2500, 0.2500, 0.0000), W at (0.0000, 0.0000, 0.5000) and Se at (0.0000, 0.5000, 0.5000).


[6]
Density functional theory data (GGA-PBEsol) for a relaxed MgWSe2 crystal.

For the formation energy from raw total energies, the calculation gives -0.240 eV/atom. Its total energy is -6.047 eV per atom. The value obtained for the total magnetization is 0.0 μB per cell. The calculated density comes out at 7.4 Mg/m³. As for the volume: 20.6 A^3/atom.

The space group is R-3m (No. 166, hexagonal axes) and the conventional cell measures 3.2285, 3.2285 and 27.3374 Å, with angles of 90.00, 90.00 and 120.00 degrees. The asymmetric unit holds Mg at (0.0000, 0.0000, 0.0000), W at (0.0000, 0.0000, 0.5000) and Se at (0.0000, 0.0000, 0.1033).


[7]
Density functional theory data (GGA-PBEsol) for a relaxed MgWSe2 crystal.

For the formation energy from raw total energies, the calculation gives 0.221 eV/atom. Its total energy is -5.585 eV per atom. The value obtained for the total magnetization is 0.0 μB per cell. The calculated density comes out at 8.0 Mg/m³. As for the volume: 19.0 A^3/atom.

The space group is Cmmm (No. 65) and the conventional cell measures 3.3231, 5.8243 and 7.8681 Å, with angles of 90.00, 90.00 and 90.00 degrees. The asymmetric unit holds Mg at (0.0000, 0.0000, 0.0000), W at (0.0000, 0.0000, 0.5000) and Se at (0.0000, 0.5000, 0.2593).


[8]
Density functional theory data (GGA-PBEsol) for a relaxed MgWSe crystal.

For the formation energy from raw total energies, the calculation gives 0.055 eV/atom. Its total energy is -6.403 eV per atom. The value obtained for the total magnetization is 0.0 μB per cell. The calculated density comes out at 9.1 Mg/m³. As for the volume: 17.5 A^3/atom.

The space group is I4mm (No. 107) and the conventional cell measures 3.1669, 3.1669 and 10.4934 Å, with angles of 90.00, 90.00 and 90.00 degrees. The asymmetric unit holds Mg at (0.0000, 0.0000, 0.0000), W at (0.0000, 0.0000, 0.3165) and Se at (0.0000, 0.0000, 0.6996).


[9]
Density functional theory data (GGA-PBEsol) for a relaxed Y2MgSe crystal.

For the formation energy from raw total energies, the calculation gives -0.628 eV/atom. Its total energy is -5.431 eV per atom. The value obtained for the total magnetization is 0.0 μB per cell. The calculated density comes out at 4.9 Mg/m³. As for the volume: 23.8 A^3/atom.

The space group is P4/mmm (No. 123) and the conventional cell measures 5.2102, 5.2102 and 3.5128 Å, with angles of 90.00, 90.00 and 90.00 degrees. The asymmetric unit holds Y at (0.0000, 0.5000, 0.0000), Mg at (0.0000, 0.0000, 0.5000) and Se at (0.5000, 0.5000, 0.5000).


[10]
Density functional theory data (GGA-PBEsol) for a relaxed Y2MgSe crystal.

For the formation energy from raw total energies, the calculation gives -0.540 eV/atom. Its total energy is -5.343 eV per atom. The value obtained for the total magnetization is 3.6 μB per cell. The calculated density comes out at 4.4 Mg/m³. As for the volume: 26.7 A^3/atom.

The space group is I-42d (No. 122) and the conventional cell measures 8.0996, 8.0996 and 6.5005 Å, with angles of 90.00, 90.00 and 90.00 degrees. The asymmetric unit holds Y at (0.2103, 0.2500, 0.1250), Mg at (0.0000, 0.0000, 0.5000) and Se at (0.0000, 0.0000, 0.0000).


[11]
Density functional theory data (GGA-PBEsol) for a relaxed Y2MgSe crystal.

For the formation energy from raw total energies, the calculation gives -0.901 eV/atom. Its total energy is -5.703 eV per atom. The value obtained for the total magnetization is 0.0 μB per cell. The calculated density comes out at 4.4 Mg/m³. As for the volume: 26.3 A^3/atom.

The space group is R-3m (No. 166, hexagonal axes) and the conventional cell measures 3.8239, 3.8239 and 24.8823 Å, with angles of 90.00, 90.00 and 120.00 degrees. The asymmetric unit holds Y at (0.0000, 0.0000, 0.2358), Mg at (0.0000, 0.0000, 0.0000) and Se at (0.0000, 0.0000, 0.5000).


[12]
Density functional theory data (GGA-PBEsol) for a relaxed YMgSe crystal.

For the formation energy from raw total energies, the calculation gives -0.863 eV/atom. Its total energy is -4.993 eV per atom. The value obtained for the total magnetization is 0.4 μB per cell. The calculated density comes out at 4.2 Mg/m³. As for the volume: 25.3 A^3/atom.

The space group is P3m1 (No. 156) and the conventional cell measures 3.7725, 3.7725 and 6.1669 Å, with angles of 90.00, 90.00 and 120.00 degrees. The asymmetric unit holds Y at (0.0000, 0.0000, 0.0000), Mg at (0.3333, 0.6667, 0.5738) and Se at (0.6667, 0.3333, 0.2959).


[13]
Density functional theory data (GGA-PBEsol) for a relaxed YMgSe2 crystal.

For the formation energy from raw total energies, the calculation gives -1.480 eV/atom. Its total energy is -5.540 eV per atom. The value obtained for the total magnetization is 0.0 μB per cell. The calculated density comes out at 5.0 Mg/m³. As for the volume: 22.4 A^3/atom.

The space group is P4/mmm (No. 123) and the conventional cell measures 3.9699, 3.9699 and 5.6828 Å, with angles of 90.00, 90.00 and 90.00 degrees. The asymmetric unit holds Y at (0.0000, 0.0000, 0.0000), Mg at (0.5000, 0.5000, 0.5000), Se at (0.0000, 0.0000, 0.5000) and Se at (0.5000, 0.5000, 0.0000).


[14]
Density functional theory data (GGA-PBEsol) for a relaxed Y2MgSe4 crystal.

For the formation energy from raw total energies, the calculation gives -1.657 eV/atom. Its total energy is -6.052 eV per atom. The value obtained for the total magnetization is 0.0 μB per cell. The calculated density comes out at 4.8 Mg/m³. As for the volume: 25.4 A^3/atom.

The space group is Pnma (No. 62) and the conventional cell measures 13.0128, 3.9667 and 13.7859 Å, with angles of 90.00, 90.00 and 90.00 degrees. The asymmetric unit holds Y at (0.1152, 0.2500, 0.0756), Y at (0.1423, 0.2500, 0.7024), Mg at (0.1129, 0.7500, 0.4512), Se at (0.0093, 0.7500, 0.6179), Se at (0.0308, 0.2500, 0.8816), Se at (0.2214, 0.2500, 0.2527) and Se at (0.2412, 0.2500, 0.5132).